No. 1
# PrAl8Fe4 | Alexandria via LeMat-Bulk | GGA-PBE | relaxed
data_PrAl8Fe4
_chemical_formula_sum 'Pr1 Al8 Fe4'
_space_group_name_H-M_alt 'P 1'
_space_group_IT_number 1
_cell_length_a 6.712
_cell_length_b 6.712
_cell_length_c 6.712
_cell_angle_alpha 98.11
_cell_angle_beta 98.11
_cell_angle_gamma 135.89
loop_
_space_group_symop_operation_xyz
'x,y,z'
loop_
_atom_site_label
_atom_site_type_symbol
_atom_site_fract_x
_atom_site_fract_y
_atom_site_fract_z
_atom_site_occupancy
Al1 Al 0.275 0.500 0.775 1
Al2 Al 0.500 0.275 0.775 1
Al3 Al 0.500 0.725 0.225 1
Pr1 Pr 0.000 0.000 0.000 1
Fe1 Fe 0.000 0.000 0.500 1
Al4 Al 0.725 0.500 0.225 1
Fe2 Fe 0.000 0.500 0.000 1
Al5 Al 0.657 0.000 0.657 1
Al6 Al 0.000 0.343 0.343 1
Al7 Al 0.000 0.657 0.657 1
Al8 Al 0.343 0.000 0.343 1
Fe3 Fe 0.500 0.500 0.500 1
Fe4 Fe 0.500 0.000 0.000 1
# size of the total moment	5.8	μB per cell
# formation energy from the elements	-0.395	eV/atom

No. 2
# Tb2Sm2Y7 | Alexandria via LeMat-Bulk | GGA-PBE | relaxed
data_Tb2Sm2Y7
_chemical_formula_sum 'Tb2 Sm2 Y7'
_space_group_name_H-M_alt 'P 1'
_space_group_IT_number 1
_cell_length_a 5.556
_cell_length_b 8.181
_cell_length_c 9.401
_cell_angle_alpha 115.79
_cell_angle_beta 107.19
_cell_angle_gamma 90.00
loop_
_space_group_symop_operation_xyz
'x,y,z'
loop_
_atom_site_label
_atom_site_type_symbol
_atom_site_fract_x
_atom_site_fract_y
_atom_site_fract_z
_atom_site_occupancy
Y1 Y 0.500 0.919 0.000 1
Tb1 Tb 0.500 0.332 0.000 1
Tb2 Tb 0.000 0.624 0.000 1
Sm1 Sm 0.701 0.323 0.402 1
Y2 Y 0.138 0.468 0.275 1
Y3 Y 0.139 0.053 0.278 1
Y4 Y 0.340 0.464 0.681 1
Y5 Y 0.862 0.192 0.725 1
Y6 Y 0.861 0.775 0.722 1
Sm2 Sm 0.299 0.921 0.598 1
Y7 Y 0.660 0.783 0.319 1
# size of the total moment	0.0	μB per cell
# formation energy from the elements	0.110	eV/atom

Question: size of the total moment of number 1 (PrAl8Fe4)?
Answer: 5.8 μB per cell

Question: Which value of size of the total moment does entry 2 give?
Answer: 0.0 μB per cell